A relaxed structure of Rb4LiOs3O12, computed with PBE.

ρ   7.0 Mg/m³
Total energy   -6.179 eV/atom

Unit cell a=7.005 b=7.005 c=7.005 alpha=109.47 beta=109.47 gamma=109.47
Atoms (fractional coordinates):
Rb (0.500, 0.500, 0.500)
Rb (0.000, 0.000, 0.500)
Rb (0.500, 0.000, 0.000)
Rb (0.000, 0.500, 0.000)
Li (0.000, 0.000, 0.000)
Os (0.500, 0.000, 0.500)
Os (0.500, 0.500, 0.000)
Os (0.000, 0.500, 0.500)
O (0.250, 0.500, 0.750)
O (0.726, 0.000, 0.726)
O (0.274, 0.000, 0.274)
O (0.750, 0.500, 0.250)
O (0.726, 0.726, 0.000)
O (0.274, 0.274, 0.000)
O (0.750, 0.250, 0.500)
O (0.250, 0.750, 0.500)
O (0.500, 0.250, 0.750)
O (0.000, 0.726, 0.726)
O (0.500, 0.750, 0.250)
O (0.000, 0.274, 0.274)

---

A relaxed structure of Rb2LiOs2O6, computed with PBE.

Offset from the most stable computed form   0.16 eV/f.u.
ρ   7.0 Mg/m³

Unit cell a=5.657 b=5.656 c=6.455 alpha=64.00 beta=64.00 gamma=59.99
Atoms (fractional coordinates):
Rb (0.878, 0.878, 0.367)
Rb (0.122, 0.122, 0.633)
Li (0.500, 0.500, 0.500)
Os (0.669, 0.669, 0.994)
Os (0.331, 0.331, 0.006)
O (0.514, 0.617, 0.792)
O (0.077, 0.514, 0.792)
O (0.617, 0.077, 0.792)
O (0.486, 0.383, 0.208)
O (0.383, 0.923, 0.208)
O (0.923, 0.486, 0.208)

---

A relaxed structure of Rb2LiOsO6, computed with PBE.

ρ   4.6 Mg/m³
Total energy   -5.699 eV/atom

Unit cell a=5.136 b=6.170 c=6.170 alpha=120.00 beta=90.00 gamma=90.00
Atoms (fractional coordinates):
Rb (0.275, 0.333, 0.667)
Rb (0.725, 0.667, 0.333)
Li (0.500, 0.000, 0.000)
Os (0.000, 0.000, 0.000)
O (0.785, 0.141, 0.282)
O (0.785, 0.141, 0.859)
O (0.785, 0.718, 0.859)
O (0.215, 0.859, 0.141)
O (0.215, 0.282, 0.141)
O (0.215, 0.859, 0.718)

---

A relaxed structure of Li2OsRhO6, computed with PBE.

ρ   6.6 Mg/m³
Total energy   -6.470 eV/atom

Unit cell a=5.103 b=5.102 c=5.359 alpha=61.47 beta=61.48 gamma=59.96
Atoms (fractional coordinates):
Li (0.534, 0.532, 0.399)
Li (0.033, 0.035, 0.898)
Os (0.322, 0.322, 0.033)
Rh (0.822, 0.822, 0.533)
O (0.570, 0.215, 0.268)
O (0.216, 0.946, 0.270)
O (0.947, 0.567, 0.271)
O (0.429, 0.700, 0.782)
O (0.699, 0.091, 0.780)
O (0.089, 0.431, 0.782)

---

A relaxed structure of Li2OsRh2O6, computed with PBE.

ρ   7.0 Mg/m³
Total energy   -6.434 eV/atom

Unit cell a=5.386 b=5.386 c=5.184 alpha=99.75 beta=99.75 gamma=121.40
Atoms (fractional coordinates):
Li (0.826, 0.174, 0.000)
Li (0.174, 0.826, 0.000)
Os (0.000, 0.000, 0.500)
Rh (0.337, 0.663, 0.500)
Rh (0.663, 0.337, 0.500)
O (0.761, 0.761, 0.727)
O (0.055, 0.398, 0.715)
O (0.239, 0.239, 0.273)
O (0.398, 0.055, 0.715)
O (0.945, 0.602, 0.285)
O (0.602, 0.945, 0.285)

---

A relaxed structure of LiOs2RhO8, computed with PBE.

ρ   6.3 Mg/m³
Total energy   -6.835 eV/atom

Unit cell a=4.876 b=4.876 c=7.719 alpha=108.41 beta=108.41 gamma=90.00
Atoms (fractional coordinates):
Li (0.000, 0.000, 0.000)
Os (0.500, 0.500, 0.000)
Os (0.250, 0.750, 0.500)
Rh (0.750, 0.250, 0.500)
O (0.777, 0.795, 0.124)
O (0.347, 0.329, 0.124)
O (0.555, 0.587, 0.619)
O (0.064, 0.032, 0.619)
O (0.968, 0.445, 0.381)
O (0.413, 0.936, 0.381)
O (0.205, 0.653, 0.876)
O (0.671, 0.223, 0.876)

---

A relaxed structure of LiOsRu2O6, computed with PBE.

ρ   7.9 Mg/m³
Total energy   -7.176 eV/atom

Unit cell a=4.973 b=4.952 c=5.425 alpha=65.27 beta=64.92 gamma=64.64
Atoms (fractional coordinates):
Li (0.806, 0.815, 0.576)
Os (0.314, 0.313, 0.013)
Ru (0.518, 0.508, 0.470)
Ru (0.023, 0.020, 0.980)
O (0.596, 0.246, 0.224)
O (0.251, 0.905, 0.267)
O (0.925, 0.598, 0.219)
O (0.404, 0.721, 0.774)
O (0.728, 0.104, 0.765)
O (0.095, 0.431, 0.726)

---

A relaxed structure of Li2OsRuO6, computed with PBE.

ρ   6.7 Mg/m³
Total energy   -6.717 eV/atom

Unit cell a=5.109 b=5.276 c=7.406 alpha=90.00 beta=89.86 gamma=90.00
Atoms (fractional coordinates):
Li (0.008, 0.964, 0.249)
Li (0.508, 0.536, 0.749)
Li (0.992, 0.036, 0.751)
Li (0.492, 0.464, 0.251)
Os (0.500, 0.000, 0.500)
Os (0.000, 0.500, 0.000)
Ru (0.500, 0.000, 0.000)
Ru (0.000, 0.500, 0.500)
O (0.316, 0.682, 0.063)
O (0.816, 0.818, 0.563)
O (0.684, 0.318, 0.937)
O (0.184, 0.182, 0.437)
O (0.325, 0.689, 0.438)
O (0.825, 0.811, 0.938)
O (0.675, 0.311, 0.562)
O (0.175, 0.189, 0.062)
O (0.873, 0.533, 0.246)
O (0.373, 0.967, 0.746)
O (0.127, 0.467, 0.754)
O (0.627, 0.033, 0.254)

---

A relaxed structure of Li2SbOsO6, computed with PBE.

ρ   5.7 Mg/m³
Total energy   -6.175 eV/atom

Unit cell a=3.851 b=5.626 c=5.626 alpha=90.00 beta=90.00 gamma=90.00
Atoms (fractional coordinates):
Li (0.906, 0.500, 0.000)
Li (0.906, 0.000, 0.500)
Sb (0.668, 0.000, 0.000)
Os (0.681, 0.500, 0.500)
O (0.729, 0.251, 0.251)
O (0.729, 0.251, 0.749)
O (0.194, 0.500, 0.500)
O (0.176, 0.000, 0.000)
O (0.729, 0.749, 0.749)
O (0.729, 0.749, 0.251)

---

A relaxed structure of Li2SbOsO8, computed with PBE.

ρ   5.4 Mg/m³
Total energy   -5.960 eV/atom

Unit cell a=4.774 b=4.771 c=6.160 alpha=90.00 beta=90.00 gamma=93.21
Atoms (fractional coordinates):
Li (0.500, 0.500, 0.754)
Li (0.500, 0.500, 0.246)
Sb (0.000, 0.000, 0.500)
Os (0.000, 0.000, 0.000)
O (0.186, 0.814, 0.231)
O (0.723, 0.724, 0.000)
O (0.814, 0.186, 0.231)
O (0.814, 0.186, 0.769)
O (0.277, 0.276, 0.000)
O (0.186, 0.814, 0.769)
O (0.709, 0.710, 0.500)
O (0.291, 0.290, 0.500)

---

A relaxed structure of Li2ScOsO6, computed with PBE.

ρ   5.4 Mg/m³
Total energy   -7.036 eV/atom

Unit cell a=5.220 b=5.389 c=7.583 alpha=90.00 beta=90.22 gamma=90.00
Atoms (fractional coordinates):
Li (0.995, 0.974, 0.252)
Li (0.495, 0.526, 0.752)
Li (0.005, 0.026, 0.748)
Li (0.505, 0.474, 0.248)
Sc (0.500, 0.000, 0.000)
Sc (0.000, 0.500, 0.500)
Os (0.500, 0.000, 0.500)
Os (0.000, 0.500, 0.000)
O (0.307, 0.671, 0.056)
O (0.807, 0.829, 0.556)
O (0.693, 0.329, 0.944)
O (0.193, 0.171, 0.444)
O (0.338, 0.697, 0.438)
O (0.838, 0.803, 0.938)
O (0.662, 0.303, 0.562)
O (0.162, 0.197, 0.062)
O (0.886, 0.544, 0.237)
O (0.386, 0.956, 0.737)
O (0.114, 0.456, 0.763)
O (0.614, 0.044, 0.263)

---

A relaxed structure of LiSc2OsO6, computed with PBE.

ρ   5.5 Mg/m³
Total energy   -7.935 eV/atom

Unit cell a=5.274 b=5.274 c=5.710 alpha=62.49 beta=62.49 gamma=60.00
Atoms (fractional coordinates):
Li (0.793, 0.793, 0.622)
Sc (0.523, 0.523, 0.430)
Sc (0.015, 0.015, 0.954)
Os (0.324, 0.324, 0.027)
O (0.586, 0.237, 0.235)
O (0.237, 0.942, 0.235)
O (0.942, 0.586, 0.235)
O (0.406, 0.709, 0.759)
O (0.709, 0.125, 0.759)
O (0.125, 0.406, 0.759)

---

Size of the total moment
In order: 1.1 0.0 1.0 0.0 2.0 0.0 0.7 0.4 1.0 1.0 0.8 3.0
Unit: Bohr magnetons per cell